Run A
Crystalline ErZrRe at its relaxed geometry, computed with PBE-GGA.

Cell and atoms, written as CIF:
```
data_ErZrRe
_chemical_formula_sum 'Er16 Zr16 Re16'
_space_group_name_H-M_alt 'F d d d'
_space_group_IT_number 70
_cell_length_a 5.258
_cell_length_b 10.163
_cell_length_c 20.168
_cell_angle_alpha 90.00
_cell_angle_beta 90.00
_cell_angle_gamma 90.00
loop_
_space_group_symop_operation_xyz
'x,y,z'
'-x,-y,-z'
'-x+1/4,-y+1/4,z'
'x+1/4,y+1/4,-z'
'x,-y+1/4,-z+1/4'
'-x,y+1/4,z+1/4'
'-x+1/4,y,-z+1/4'
'x+1/4,-y,z+1/4'
'x,y+1/2,z+1/2'
'-x,-y+1/2,-z+1/2'
'-x+1/4,-y+3/4,z+1/2'
'x+1/4,y+3/4,-z+1/2'
'x,-y+3/4,-z+3/4'
'-x,y+3/4,z+3/4'
'-x+1/4,y+1/2,-z+3/4'
'x+1/4,-y+1/2,z+3/4'
'x+1/2,y,z+1/2'
'-x+1/2,-y,-z+1/2'
'-x+3/4,-y+1/4,z+1/2'
'x+3/4,y+1/4,-z+1/2'
'x+1/2,-y+1/4,-z+3/4'
'-x+1/2,y+1/4,z+3/4'
'-x+3/4,y,-z+3/4'
'x+3/4,-y,z+3/4'
'x+1/2,y+1/2,z'
'-x+1/2,-y+1/2,-z'
'-x+3/4,-y+3/4,z'
'x+3/4,y+3/4,-z'
'x+1/2,-y+3/4,-z+1/4'
'-x+1/2,y+3/4,z+1/4'
'-x+3/4,y+1/2,-z+1/4'
'x+3/4,-y+1/2,z+1/4'
loop_
_atom_site_label
_atom_site_type_symbol
_atom_site_fract_x
_atom_site_fract_y
_atom_site_fract_z
Er1 Er 0.125 0.283 0.125
Zr1 Zr 0.125 0.125 0.537
Re1 Re 0.125 0.125 0.000
```

=====

Run B
Crystalline ErZrRe at its relaxed geometry, computed with PBE-GGA.

Cell and atoms, written as CIF:
```
data_ErZrRe
_chemical_formula_sum 'Er2 Zr2 Re2'
_space_group_name_H-M_alt 'I 4 m m'
_space_group_IT_number 107
_space_group_name_Hall 'I 4 -2'
_cell_length_a 3.356
_cell_length_b 3.356
_cell_length_c 12.189
_cell_angle_alpha 90.00
_cell_angle_beta 90.00
_cell_angle_gamma 90.00
loop_
_atom_site_label
_atom_site_type_symbol
_atom_site_fract_x
_atom_site_fract_y
_atom_site_fract_z
Er1 Er 0.000 0.000 0.000
Zr1 Zr 0.000 0.000 0.263
Re1 Re 0.000 0.000 0.647
```

=====

run B comes first in stability; the runner-up is 12 meV/atom higher.

=====

Run A
Crystalline Er3Rh2 at its relaxed geometry, computed with PBE-GGA.

Cell and atoms, written as CIF:
```
data_Er3Rh2
_chemical_formula_sum 'Er12 Rh8'
_space_group_name_H-M_alt 'C m c m'
_space_group_IT_number 63
_space_group_name_Hall '-C 2c 2'
_cell_length_a 4.240
_cell_length_b 11.023
_cell_length_c 9.955
_cell_angle_alpha 90.00
_cell_angle_beta 90.00
_cell_angle_gamma 90.00
loop_
_atom_site_label
_atom_site_type_symbol
_atom_site_fract_x
_atom_site_fract_y
_atom_site_fract_z
Er1 Er 0.000 0.092 0.250
Er2 Er 0.000 0.353 0.067
Rh1 Rh 0.000 0.000 0.000
Rh2 Rh 0.000 0.180 0.750
```

=====

Run B
Crystalline Er3Rh2 at its relaxed geometry, computed with PBE-GGA.

Cell and atoms, written as CIF:
```
data_Er3Rh2
_chemical_formula_sum 'Er84 Rh56'
_space_group_name_H-M_alt 'I 4/m c m'
_space_group_IT_number 140
_space_group_name_Hall '-I 4 2c'
_cell_length_a 11.136
_cell_length_b 11.136
_cell_length_c 25.033
_cell_angle_alpha 90.00
_cell_angle_beta 90.00
_cell_angle_gamma 90.00
loop_
_atom_site_label
_atom_site_type_symbol
_atom_site_fract_x
_atom_site_fract_y
_atom_site_fract_z
Er1 Er 0.000 0.500 0.113
Er2 Er 0.000 0.500 0.250
Er3 Er 0.075 0.204 0.071
Er4 Er 0.079 0.211 0.307
Er5 Er 0.151 0.349 0.500
Rh1 Rh 0.000 0.000 0.000
Rh2 Rh 0.000 0.000 0.133
Rh3 Rh 0.000 0.000 0.250
Rh4 Rh 0.098 0.402 0.000
Rh5 Rh 0.153 0.347 0.188
Rh6 Rh 0.179 0.321 0.393
```

=====

run B comes first in stability; the runner-up is 75 meV/atom higher.

=====

Run A
Crystalline Er3Rh2 at its relaxed geometry, computed with PBE-GGA.

Cell and atoms, written as CIF:
```
data_Er3Rh2
_chemical_formula_sum 'Er18 Rh12'
_space_group_name_H-M_alt 'R -3 c'
_space_group_IT_number 167
_space_group_name_Hall '-R 3 2"c'
_cell_length_a 6.7174
_cell_length_b 6.7174
_cell_length_c 19.1165
_cell_angle_alpha 90.00
_cell_angle_beta 90.00
_cell_angle_gamma 120.00
loop_
_atom_site_label
_atom_site_type_symbol
_atom_site_fract_x
_atom_site_fract_y
_atom_site_fract_z
Er1 Er 0.0000 0.3479 0.2500
Rh1 Rh 0.0000 0.0000 0.1721
```

=====

Run B
Crystalline Er3Rh2 at its relaxed geometry, computed with PBE-GGA.

Cell and atoms, written as CIF:
```
data_Er3Rh2
_chemical_formula_sum 'Er6 Rh4'
_space_group_name_H-M_alt 'C 1 2/m 1'
_space_group_IT_number 12
_space_group_name_Hall '-C 2y'
_cell_length_a 8.215
_cell_length_b 4.698
_cell_length_c 5.988
_cell_angle_alpha 90.00
_cell_angle_beta 90.32
_cell_angle_gamma 90.00
loop_
_atom_site_label
_atom_site_type_symbol
_atom_site_fract_x
_atom_site_fract_y
_atom_site_fract_z
Er1 Er 0.000 0.000 0.000
Er2 Er 0.166 0.500 0.665
Rh1 Rh 0.167 0.500 0.167
```

=====

run B comes first in stability; the runner-up is 67 meV/atom higher.

=====

Run A
Crystalline Er3RuRh at its relaxed geometry, computed with PBE-GGA.

Cell and atoms, written as CIF:
```
data_Er3RuRh
_chemical_formula_sum 'Er24 Ru8 Rh8'
_space_group_name_H-M_alt 'C 1 2/c 1'
_space_group_IT_number 15
_space_group_name_Hall '-C 2yc'
_cell_length_a 17.885
_cell_length_b 8.420
_cell_length_c 6.345
_cell_angle_alpha 90.00
_cell_angle_beta 110.71
_cell_angle_gamma 90.00
loop_
_atom_site_label
_atom_site_type_symbol
_atom_site_fract_x
_atom_site_fract_y
_atom_site_fract_z
Er1 Er 0.051 0.248 0.051
Er2 Er 0.146 0.390 0.645
Er3 Er 0.182 0.000 0.432
Ru1 Ru 0.214 0.294 0.215
Rh1 Rh 0.000 0.000 0.250
Rh2 Rh 0.000 0.500 0.250
```

=====

Run B
Crystalline Er3RuRh at its relaxed geometry, computed with PBE-GGA.

Cell and atoms, written as CIF:
```
data_Er3RuRh
_chemical_formula_sum 'Er6 Ru2 Rh2'
_space_group_name_H-M_alt 'P m m n'
_space_group_IT_number 59
_cell_length_a 4.065
_cell_length_b 6.719
_cell_length_c 8.565
_cell_angle_alpha 90.00
_cell_angle_beta 90.00
_cell_angle_gamma 90.00
loop_
_space_group_symop_operation_xyz
'x,y,z'
'-x,-y,-z'
'-x+1/2,-y+1/2,z'
'x+1/2,y+1/2,-z'
'x+1/2,-y,-z'
'-x+1/2,y,z'
'-x,y+1/2,-z'
'x,-y+1/2,z'
loop_
_atom_site_label
_atom_site_type_symbol
_atom_site_fract_x
_atom_site_fract_y
_atom_site_fract_z
Er1 Er 0.250 0.014 0.168
Er2 Er 0.250 0.250 0.541
Ru1 Ru 0.250 0.750 0.678
Rh1 Rh 0.250 0.250 0.876
```

=====

run A comes first in stability; the runner-up is 82 meV/atom higher.

=====

Run A
Crystalline Er4RuRh at its relaxed geometry, computed with PBE-GGA.

Cell and atoms, written as CIF:
```
data_Er4RuRh
_chemical_formula_sum 'Er16 Ru4 Rh4'
_space_group_name_H-M_alt 'C 1 2/c 1'
_space_group_IT_number 15
_space_group_name_Hall '-C 2yc'
_cell_length_a 8.864
_cell_length_b 12.835
_cell_length_c 6.261
_cell_angle_alpha 90.00
_cell_angle_beta 124.52
_cell_angle_gamma 90.00
loop_
_atom_site_label
_atom_site_type_symbol
_atom_site_fract_x
_atom_site_fract_y
_atom_site_fract_z
Er1 Er 0.130 0.176 0.100
Er2 Er 0.197 0.436 0.265
Ru1 Ru 0.000 0.001 0.750
Rh1 Rh 0.000 0.364 0.750
```

=====

Run B
Crystalline Er4RuRh at its relaxed geometry, computed with PBE-GGA.

Cell and atoms, written as CIF:
```
data_Er4RuRh
_chemical_formula_sum 'Er16 Ru4 Rh4'
_space_group_name_H-M_alt 'I 41 m d'
_space_group_IT_number 109
_space_group_name_Hall 'I 4bw -2'
_cell_length_a 9.000
_cell_length_b 9.000
_cell_length_c 8.247
_cell_angle_alpha 90.00
_cell_angle_beta 90.00
_cell_angle_gamma 90.00
loop_
_atom_site_label
_atom_site_type_symbol
_atom_site_fract_x
_atom_site_fract_y
_atom_site_fract_z
Er1 Er 0.000 0.199 0.000
Er2 Er 0.000 0.201 0.493
Ru1 Ru 0.000 0.000 0.246
Rh1 Rh 0.000 0.000 0.746
```

=====

run A comes first in stability; the runner-up is 139 meV/atom higher.

=====

Run A
Crystalline Er7Sb2Rh2 at its relaxed geometry, computed with PBE-GGA.

Cell and atoms, written as CIF:
```
data_Er7Sb2Rh2
_chemical_formula_sum 'Er14 Sb4 Rh4'
_space_group_name_H-M_alt 'I m m 2'
_space_group_IT_number 44
_space_group_name_Hall 'I 2 -2'
_cell_length_a 3.982
_cell_length_b 15.627
_cell_length_c 9.272
_cell_angle_alpha 90.00
_cell_angle_beta 90.00
_cell_angle_gamma 90.00
loop_
_atom_site_label
_atom_site_type_symbol
_atom_site_fract_x
_atom_site_fract_y
_atom_site_fract_z
Er1 Er 0.000 0.000 0.000
Er2 Er 0.000 0.127 0.587
Er3 Er 0.000 0.315 0.378
Er4 Er 0.000 0.354 0.744
Sb1 Sb 0.000 0.000 0.333
Sb2 Sb 0.000 0.500 0.244
Rh1 Rh 0.000 0.240 0.070
```

=====

Run B
Crystalline Er7Sb2Rh2 at its relaxed geometry, computed with PBE-GGA.

Cell and atoms, written as CIF:
```
data_Er7Sb2Rh2
_chemical_formula_sum 'Er14 Sb4 Rh4'
_space_group_name_H-M_alt 'C m m m'
_space_group_IT_number 65
_space_group_name_Hall '-C 2 2'
_cell_length_a 8.626
_cell_length_b 10.409
_cell_length_c 7.047
_cell_angle_alpha 90.00
_cell_angle_beta 90.00
_cell_angle_gamma 90.00
loop_
_atom_site_label
_atom_site_type_symbol
_atom_site_fract_x
_atom_site_fract_y
_atom_site_fract_z
Er1 Er 0.000 0.000 0.000
Er2 Er 0.000 0.500 0.234
Er3 Er 0.250 0.250 0.244
Sb1 Sb 0.209 0.000 0.500
Rh1 Rh 0.000 0.278 0.000
```

=====

run A comes first in stability; the runner-up is 161 meV/atom higher.

=====

Run A
Crystalline ErSb2Rh4 at its relaxed geometry, computed with PBE-GGA.

Cell and atoms, written as CIF:
```
data_ErSb2Rh4
_chemical_formula_sum 'Er2 Sb4 Rh8'
_space_group_name_H-M_alt 'P 42/m n m'
_space_group_IT_number 136
_space_group_name_Hall '-P 4n 2n'
_cell_length_a 7.948
_cell_length_b 7.948
_cell_length_c 4.104
_cell_angle_alpha 90.00
_cell_angle_beta 90.00
_cell_angle_gamma 90.00
loop_
_atom_site_label
_atom_site_type_symbol
_atom_site_fract_x
_atom_site_fract_y
_atom_site_fract_z
Er1 Er 0.000 0.000 0.000
Sb1 Sb 0.225 0.225 0.500
Rh1 Rh 0.080 0.658 0.500
```

=====

Run B
Crystalline ErSb2Rh4 at its relaxed geometry, computed with PBE-GGA.

Cell and atoms, written as CIF:
```
data_ErSb2Rh4
_chemical_formula_sum 'Er2 Sb4 Rh8'
_space_group_name_H-M_alt 'I 4/m m m'
_space_group_IT_number 139
_space_group_name_Hall '-I 4 2'
_cell_length_a 4.000
_cell_length_b 4.000
_cell_length_c 17.600
_cell_angle_alpha 90.00
_cell_angle_beta 90.00
_cell_angle_gamma 90.00
loop_
_atom_site_label
_atom_site_type_symbol
_atom_site_fract_x
_atom_site_fract_y
_atom_site_fract_z
Er1 Er 0.000 0.000 0.000
Sb1 Sb 0.000 0.000 0.361
Rh1 Rh 0.000 0.000 0.143
Rh2 Rh 0.000 0.500 0.250
```

=====

run A comes first in stability; the runner-up is 302 meV/atom higher.

=====

Run A
Crystalline ErSc2Rh at its relaxed geometry, computed with PBE-GGA.

Cell and atoms, written as CIF:
```
data_ErSc2Rh
_chemical_formula_sum 'Er4 Sc8 Rh4'
_space_group_name_H-M_alt 'P n m a'
_space_group_IT_number 62
_space_group_name_Hall '-P 2ac 2n'
_cell_length_a 6.922
_cell_length_b 8.844
_cell_length_c 5.985
_cell_angle_alpha 90.00
_cell_angle_beta 90.00
_cell_angle_gamma 90.00
loop_
_atom_site_label
_atom_site_type_symbol
_atom_site_fract_x
_atom_site_fract_y
_atom_site_fract_z
Er1 Er 0.030 0.250 0.126
Sc1 Sc 0.176 0.061 0.665
Rh1 Rh 0.114 0.750 0.428
```

=====

Run B
Crystalline ErSc2Rh at its relaxed geometry, computed with PBE-GGA.

Cell and atoms, written as CIF:
```
data_ErSc2Rh
_chemical_formula_sum 'Er4 Sc8 Rh4'
_space_group_name_H-M_alt 'C m c m'
_space_group_IT_number 63
_space_group_name_Hall '-C 2c 2'
_cell_length_a 3.668
_cell_length_b 11.387
_cell_length_c 8.716
_cell_angle_alpha 90.00
_cell_angle_beta 90.00
_cell_angle_gamma 90.00
loop_
_atom_site_label
_atom_site_type_symbol
_atom_site_fract_x
_atom_site_fract_y
_atom_site_fract_z
Er1 Er 0.000 0.067 0.250
Sc1 Sc 0.000 0.360 0.064
Rh1 Rh 0.000 0.243 0.750
```

=====

run A comes first in stability; the runner-up is 18 meV/atom higher.